## RbW6O18 (GGA+U)

Data for a relaxed RbW6O18 crystal.

Results
The calculation puts the volume at 756 Å³/cell. As for the raw total energy: -7.38 eV per atom. For the total magnetization, the calculation gives 0.81 μB per cell.

a b c (Å): 7.515 7.726 13.026
angles (deg): 90.00 90.00 90.00
Space group Immm (No. 71)
Inequivalent atoms, fractional coordinates:
Rb  0.000  0.000  0.000 [2 per cell]
W  0.000  0.250  0.500 [4 per cell]
W  0.250  0.250  0.250 [8 per cell]
O  0.000  0.000  0.500 [2 per cell]
O  0.000  0.238  0.212 [8 per cell]
O  0.000  0.500  0.500 [2 per cell]
O  0.182  0.253  0.394 [16 per cell]
O  0.240  0.500  0.248 [8 per cell]